[1]
Material: Rb2PuSnS4
Method: DFT, GGA-PBE
State: optimized geometry

## Properties
Raw formation energy   -8.975 eV per formula unit
Energy   -45.75 eV/f.u.

a = 8.644 Å, b = 8.644 Å, c = 8.491 Å
α = 119.41°, β = 119.41°, γ = 89.77°
Each line ends with the local moment (μB).
Fractional coordinates of all 16 atoms:
Pu 0.000 0.500 0.500  4.65
S 0.189 0.716 0.953  -0.12
Pu 0.000 0.500 0.000  4.65
S 0.780 0.720 0.974  -0.11
Rb 0.500 0.000 0.000  -0.01
Sn 0.000 0.000 0.000  -0.04
Rb 0.500 0.000 0.500  -0.01
S 0.220 0.280 0.026  -0.11
Sn 0.500 0.500 0.500  -0.04
S 0.780 0.720 0.526  -0.11
S 0.220 0.280 0.474  -0.11
S 0.811 0.284 0.047  -0.12
S 0.784 0.311 0.547  -0.12
Rb 0.500 0.500 0.000  0.00
S 0.216 0.689 0.453  -0.12
Rb 0.000 0.000 0.500  0.00

[2]
Material: RbPuSnS3
Method: DFT, GGA-PBE
State: optimized geometry

## Properties
Raw formation energy   -7.074 eV per formula unit
Energy   -38.76 eV/f.u.

a = 4.098 Å, b = 8.428 Å, c = 11.661 Å
α = 107.72°, β = 90.00°, γ = 90.00°
Each line ends with the local moment (μB).
Fractional coordinates of all 12 atoms:
S 0.250 0.122 0.781  0.06
Rb 0.250 0.208 0.238  0.00
S 0.250 0.593 0.905  0.11
S 0.750 0.878 0.219  0.06
Sn 0.750 0.835 0.428  -0.01
S 0.750 0.372 0.615  0.03
Pu 0.750 0.363 0.854  -5.07
Sn 0.250 0.165 0.572  -0.01
S 0.750 0.407 0.095  0.11
Rb 0.750 0.792 0.762  0.00
S 0.250 0.628 0.385  0.03
Pu 0.250 0.637 0.146  -5.07

Q: What is the formula in the second record?
A: RbPuSnS3

Q: Look up the energy of the second one.
A: -38.76 eV/f.u.